# 1
Na2La4Mg | PBE | optimized geometry

Output
space-group type: I4/mmm, No. 139
size of the total moment: 0.2074 μB per atom
electronic total energy: -19.90 eV per cell
formation energy: 577.1 meV/atom
ρ: 3.4 g/cm3

a = 9.6737 Å, b = 9.6737 Å, c = 9.6737 Å
α = 144.64°, β = 144.64°, γ = 50.87°
With the nearest neighbours (Å) after each atom.
Element x y z (fractional)
Na  0.1238  0.1238  0.0000  5 La 3.47-3.65
Na  0.8762  0.8762  0.0000  5 La 3.47-3.65
La  0.0000  0.5000  0.5000  2 Mg 2.94
La  0.3225  0.3225  0.0000  1 Mg 3.10, 1 Na 3.47
La  0.5000  0.0000  0.5000  2 Mg 2.94
La  0.6775  0.6775  0.0000  1 Mg 3.10, 1 Na 3.47
Mg  0.5000  0.5000  0.0000  6 La 2.94-3.10

# 2
Sm3IBr2O6 | PBE | optimized geometry

Output
space-group type: C2/m, No. 12
size of the total moment: 0.0000 μB per atom
electronic total energy: -71.02 eV per cell
formation energy (no corrections): -2144 kJ/mol of formula units
ρ: 5.8 g/cm3

a = 6.9490 Å, b = 6.9490 Å, c = 5.8248 Å
α = 99.97°, β = 99.97°, γ = 59.36°
With the nearest neighbours (Å) after each atom.
Element x y z (fractional)
Sm  0.0000  0.0000  0.0000  4 O 2.45
Sm  0.0000  0.5000  0.5000  4 O 2.26-2.36
Sm  0.5000  0.0000  0.5000  4 O 2.26-2.36
I  0.5000  0.5000  0.5000  6 O 2.07-2.28
Br  0.2159  0.2159  0.8705  1 O 2.82, 3 Sm 2.85
Br  0.7841  0.7841  0.1295  1 O 2.82, 3 Sm 2.85
O  0.1914  0.6886  0.7025  1 I 2.28, 2 Sm 2.36-2.45
O  0.3114  0.8086  0.2975  1 I 2.28, 2 Sm 2.36-2.45
O  0.3308  0.3308  0.3426  1 I 2.07, 2 Sm 2.26
O  0.6692  0.6692  0.6574  1 I 2.07, 2 Sm 2.26
O  0.6886  0.1914  0.7025  1 I 2.28, 2 Sm 2.36-2.45
O  0.8086  0.3114  0.2975  1 I 2.28, 2 Sm 2.36-2.45

# 3
La6DyY8 | PBE | optimized geometry

Output
space-group type: R-3, No. 148
size of the total moment: 0.0000 μB per atom
electronic total energy: -84.23 eV per cell
formation energy: 110.1 meV/atom
ρ: 5.5 g/cm3

a = 8.8798 Å, b = 8.8798 Å, c = 8.8798 Å
α = 62.09°, β = 62.09°, γ = 62.09°
With the nearest neighbours (Å) after each atom.
Element x y z (fractional)
La  0.0359  0.7340  0.5919  4 Y 3.39-3.65, 1 Dy 3.52, 2 La 3.60
La  0.2660  0.4081  0.9641  4 Y 3.39-3.65, 1 Dy 3.52, 2 La 3.60
La  0.4081  0.9641  0.2660  4 Y 3.39-3.65, 1 Dy 3.52, 2 La 3.60
La  0.5919  0.0359  0.7340  4 Y 3.39-3.65, 1 Dy 3.52, 2 La 3.60
La  0.7340  0.5919  0.0359  4 Y 3.39-3.65, 1 Dy 3.52, 2 La 3.60
La  0.9641  0.2660  0.4081  4 Y 3.39-3.65, 1 Dy 3.52, 2 La 3.60
Dy  0.5000  0.5000  0.5000  6 La 3.52, 6 Y 3.60
Y  0.0774  0.0774  0.0774  4 Y 3.31-3.46, 3 La 3.56
Y  0.2041  0.2653  0.6136  3 La 3.39-3.65, 5 Y 3.46-3.50, 1 Dy 3.60
Y  0.2653  0.6136  0.2041  3 La 3.39-3.65, 5 Y 3.46-3.50, 1 Dy 3.60
Y  0.3864  0.7959  0.7347  3 La 3.39-3.65, 5 Y 3.46-3.50, 1 Dy 3.60
Y  0.6136  0.2041  0.2653  3 La 3.39-3.65, 5 Y 3.46-3.50, 1 Dy 3.60
Y  0.7347  0.3864  0.7959  3 La 3.39-3.65, 5 Y 3.46-3.50, 1 Dy 3.60
Y  0.7959  0.7347  0.3864  3 La 3.39-3.65, 5 Y 3.46-3.50, 1 Dy 3.60
Y  0.9226  0.9226  0.9226  4 Y 3.31-3.46, 3 La 3.56

# 4
Tb12Ho6Sn | PBE | optimized geometry

Output
space-group type: R-3, No. 148
size of the total moment: 0.0000 μB per atom
electronic total energy: -86.36 eV per cell
formation energy: 35.6 meV/atom
ρ: 8.3 g/cm3

a = 8.4475 Å, b = 8.4475 Å, c = 8.4475 Å
α = 88.53°, β = 88.53°, γ = 88.53°
With the nearest neighbours (Å) after each atom.
Element x y z (fractional)
Tb  0.0403  0.9323  0.2806  3 Ho 3.27-3.47, 6 Tb 3.29-3.64
Tb  0.0677  0.7194  0.9597  3 Ho 3.27-3.47, 6 Tb 3.29-3.64
Tb  0.1379  0.4877  0.3141  4 Ho 3.39-3.65, 4 Tb 3.46-3.59, 1 Sn 3.48
Tb  0.2806  0.0403  0.9323  3 Ho 3.27-3.47, 6 Tb 3.29-3.64
Tb  0.3141  0.1379  0.4877  4 Ho 3.39-3.65, 4 Tb 3.46-3.59, 1 Sn 3.48
Tb  0.4877  0.3141  0.1379  4 Ho 3.39-3.65, 4 Tb 3.46-3.59, 1 Sn 3.48
Tb  0.5123  0.6859  0.8621  4 Ho 3.39-3.65, 4 Tb 3.46-3.59, 1 Sn 3.48
Tb  0.6859  0.8621  0.5123  4 Ho 3.39-3.65, 4 Tb 3.46-3.59, 1 Sn 3.48
Tb  0.7194  0.9597  0.0677  3 Ho 3.27-3.47, 6 Tb 3.29-3.64
Tb  0.8621  0.5123  0.6859  4 Ho 3.39-3.65, 4 Tb 3.46-3.59, 1 Sn 3.48
Tb  0.9323  0.2806  0.0403  3 Ho 3.27-3.47, 6 Tb 3.29-3.64
Tb  0.9597  0.0677  0.7194  3 Ho 3.27-3.47, 6 Tb 3.29-3.64
Ho  0.2045  0.7559  0.5959  7 Tb 3.27-3.65, 1 Sn 3.36, 2 Ho 3.39
Ho  0.2441  0.4041  0.7955  7 Tb 3.27-3.65, 1 Sn 3.36, 2 Ho 3.39
Ho  0.4041  0.7955  0.2441  7 Tb 3.27-3.65, 1 Sn 3.36, 2 Ho 3.39
Ho  0.5959  0.2045  0.7559  7 Tb 3.27-3.65, 1 Sn 3.36, 2 Ho 3.39
Ho  0.7559  0.5959  0.2045  7 Tb 3.27-3.65, 1 Sn 3.36, 2 Ho 3.39
Ho  0.7955  0.2441  0.4041  7 Tb 3.27-3.65, 1 Sn 3.36, 2 Ho 3.39
Sn  0.5000  0.5000  0.5000  6 Ho 3.36, 6 Tb 3.48

# 5
CdInFe2 | PBE | optimized geometry

Output
space-group type: P4/mmm, No. 123
size of the total moment: 1.2530 μB per atom
electronic total energy: -19.25 eV per cell
formation energy: 332.9 meV/atom
ρ: 8.6 g/cm3

a = 4.0387 Å, b = 4.0387 Å, c = 4.0183 Å
α = 90.00°, β = 90.00°, γ = 90.00°
With the nearest neighbours (Å) after each atom.
Element x y z (fractional)
Cd  0.0000  0.0000  0.0000  8 Fe 2.85, 4 In 2.86
In  0.5000  0.5000  0.0000  8 Fe 2.85, 4 Cd 2.86
Fe  0.0000  0.5000  0.5000  4 In 2.85, 4 Cd 2.85, 4 Fe 2.86
Fe  0.5000  0.0000  0.5000  4 In 2.85, 4 Cd 2.85, 4 Fe 2.86

# 6
CaThZnSn | PBE | optimized geometry

Output
space-group type: F-43m, No. 216
size of the total moment: 0.0000 μB per atom
electronic total energy: -16.00 eV per cell
formation energy: -326.2 meV/atom
ρ: 7.1 g/cm3

a = 5.3269 Å, b = 5.3269 Å, c = 5.3269 Å
α = 60.00°, β = 60.00°, γ = 60.00°
With the nearest neighbours (Å) after each atom.
Element x y z (fractional)
Ca  0.0000  0.0000  0.0000  4 Sn 3.26, 4 Zn 3.26
Th  0.5000  0.5000  0.5000  4 Zn 3.26, 4 Sn 3.26
Zn  0.7500  0.7500  0.7500  4 Th 3.26, 4 Ca 3.26
Sn  0.2500  0.2500  0.2500  4 Th 3.26, 4 Ca 3.26

# 7
Cd6InPd12 | PBE | optimized geometry

Output
space-group type: R-3m, No. 166
size of the total moment: 0.0000 μB per atom
electronic total energy: -74.01 eV per cell
formation energy: -182.6 meV/atom
ρ: 10.1 g/cm3

a = 7.1533 Å, b = 7.1533 Å, c = 7.1533 Å
α = 101.95°, β = 101.95°, γ = 101.95°
With the nearest neighbours (Å) after each atom.
Element x y z (fractional)
Cd  0.0596  0.3280  0.3280  7 Pd 2.74-2.95, 2 Cd 2.98, 1 In 3.02
Cd  0.3280  0.0596  0.3280  7 Pd 2.74-2.95, 2 Cd 2.98, 1 In 3.02
Cd  0.3280  0.3280  0.0596  7 Pd 2.74-2.95, 2 Cd 2.98, 1 In 3.02
Cd  0.6720  0.6720  0.9404  7 Pd 2.74-2.95, 2 Cd 2.98, 1 In 3.02
Cd  0.6720  0.9404  0.6720  7 Pd 2.74-2.95, 2 Cd 2.98, 1 In 3.02
Cd  0.9404  0.6720  0.6720  7 Pd 2.74-2.95, 2 Cd 2.98, 1 In 3.02
In  0.5000  0.5000  0.5000  6 Pd 2.83, 6 Cd 3.02
Pd  0.0896  0.0896  0.6842  5 Pd 2.60-2.81, 1 Cd 2.83
Pd  0.0896  0.6842  0.0896  5 Pd 2.60-2.81, 1 Cd 2.83
Pd  0.2450  0.5000  0.7550  4 Cd 2.74-2.95, 6 Pd 2.81-3.02, 1 In 2.83
Pd  0.2450  0.7550  0.5000  4 Cd 2.74-2.95, 6 Pd 2.81-3.02, 1 In 2.83
Pd  0.3158  0.9104  0.9104  5 Pd 2.60-2.81, 1 Cd 2.83
Pd  0.5000  0.2450  0.7550  4 Cd 2.74-2.95, 6 Pd 2.81-3.02, 1 In 2.83
Pd  0.5000  0.7550  0.2450  4 Cd 2.74-2.95, 6 Pd 2.81-3.02, 1 In 2.83
Pd  0.6842  0.0896  0.0896  5 Pd 2.60-2.81, 1 Cd 2.83
Pd  0.7550  0.2450  0.5000  4 Cd 2.74-2.95, 6 Pd 2.81-3.02, 1 In 2.83
Pd  0.7550  0.5000  0.2450  4 Cd 2.74-2.95, 6 Pd 2.81-3.02, 1 In 2.83
Pd  0.9104  0.3158  0.9104  5 Pd 2.60-2.81, 1 Cd 2.83
Pd  0.9104  0.9104  0.3158  5 Pd 2.60-2.81, 1 Cd 2.83

# 8
InBi2Au | PBE | optimized geometry

Output
space-group type: P4/mmm, No. 123
size of the total moment: 0.0000 μB per atom
electronic total energy: -13.54 eV per cell
formation energy: 59.5 meV/atom
ρ: 11.1 g/cm3

a = 3.4987 Å, b = 3.4987 Å, c = 8.9557 Å
α = 90.00°, β = 90.00°, γ = 90.00°
With the nearest neighbours (Å) after each atom.
Element x y z (fractional)
In  0.0000  0.0000  0.0000  4 In 3.50, 8 Bi 3.55
Bi  0.5000  0.5000  0.2845  4 Au 3.14, 4 Bi 3.50
Bi  0.5000  0.5000  0.7155  4 Au 3.14, 4 Bi 3.50
Au  0.0000  0.0000  0.5000  8 Bi 3.14, 4 Au 3.50

# 9
ZnCu2HgW | PBE | optimized geometry

Output
space-group type: P4/mmm, No. 123
size of the total moment: 0.0000 μB per atom
electronic total energy: -15.78 eV per cell
formation energy: 1389.1 meV/atom
ρ: 10.8 g/cm3

a = 4.3452 Å, b = 4.3452 Å, c = 4.7092 Å
α = 90.00°, β = 90.00°, γ = 90.00°
With the nearest neighbours (Å) after each atom.
Element x y z (fractional)
Zn  0.0000  0.0000  0.0000  4 Cu 2.17, 2 Hg 2.35
Cu  0.0000  0.5000  0.0000  2 Zn 2.17
Cu  0.5000  0.0000  0.0000  2 Zn 2.17
Hg  0.0000  0.0000  0.5000  2 Zn 2.35
W  0.5000  0.5000  0.5000  4 Hg 3.07, 8 Cu 3.20

# 10
V3Cd | PBE | optimized geometry

Output
space-group type: P6_3/mmc, No. 194
size of the total moment: 0.2287 μB per atom
electronic total energy: -53.90 eV per cell
formation energy: 330.3 meV/atom
ρ: 7.1 g/cm3

a = 5.6525 Å, b = 5.6525 Å, c = 4.4714 Å
α = 90.00°, β = 90.00°, γ = 120.00°
With the nearest neighbours (Å) after each atom.
Element x y z (fractional)
V  0.1515  0.3030  0.2500  6 V 2.57-2.68, 4 Cd 2.83-2.86
V  0.1515  0.8485  0.2500  6 V 2.57-2.68, 4 Cd 2.83-2.86
V  0.3030  0.1515  0.7500  6 V 2.57-2.68, 4 Cd 2.83-2.86
V  0.6970  0.8485  0.2500  6 V 2.57-2.68, 4 Cd 2.83-2.86
V  0.8485  0.1515  0.7500  6 V 2.57-2.68, 4 Cd 2.83-2.86
V  0.8485  0.6970  0.7500  6 V 2.57-2.68, 4 Cd 2.83-2.86
Cd  0.3333  0.6667  0.7500  12 V 2.83-2.86
Cd  0.6667  0.3333  0.2500  12 V 2.83-2.86

# 11
NaTaAs2Os | PBE | optimized geometry

Output
space-group type: P4/mmm, No. 123
size of the total moment: 0.0000 μB per atom
electronic total energy: -23.72 eV per cell
formation energy: 1995.7 meV/atom
ρ: 9.2 g/cm3

a = 4.5980 Å, b = 4.5980 Å, c = 4.6431 Å
α = 90.00°, β = 90.00°, γ = 90.00°
With the nearest neighbours (Å) after each atom.
Element x y z (fractional)
Na  0.0000  0.0000  0.0000  4 As 2.30, 2 Os 2.32
Ta  0.5000  0.5000  0.5000  4 Os 3.25, 8 As 3.27
As  0.0000  0.5000  0.0000  2 Na 2.30
As  0.5000  0.0000  0.0000  2 Na 2.30
Os  0.0000  0.0000  0.5000  2 Na 2.32

# 12
Zn2CrRe | PBE | optimized geometry

Output
space-group type: R3m, No. 160
size of the total moment: 0.1283 μB per atom
electronic total energy: -23.86 eV per cell
formation energy: 189.9 meV/atom
ρ: 10.8 g/cm3

a = 8.9312 Å, b = 8.9312 Å, c = 8.9312 Å
α = 17.62°, β = 17.62°, γ = 17.62°
With the nearest neighbours (Å) after each atom.
Element x y z (fractional)
Zn  0.0000  0.0000  0.0000  3 Cr 2.67, 9 Zn 2.74-2.83
Zn  0.2442  0.2442  0.2442  9 Zn 2.74-2.83, 3 Re 2.79
Cr  0.7483  0.7483  0.7483  3 Re 2.54, 3 Zn 2.67, 6 Cr 2.74
Re  0.4905  0.4905  0.4905  3 Cr 2.54, 6 Re 2.74, 3 Zn 2.79

What is the ρ in the eleventh record?
9.2 g/cm3

Which value of size of the total moment does entry 8 give?
0.0000 μB per atom

Repeat the third record exactly.
La6DyY8 | PBE | optimized geometry

Output
space-group type: R-3, No. 148
size of the total moment: 0.0000 μB per atom
electronic total energy: -84.23 eV per cell
formation energy: 110.1 meV/atom
ρ: 5.5 g/cm3

a = 8.8798 Å, b = 8.8798 Å, c = 8.8798 Å
α = 62.09°, β = 62.09°, γ = 62.09°
With the nearest neighbours (Å) after each atom.
Element x y z (fractional)
La  0.0359  0.7340  0.5919  4 Y 3.39-3.65, 1 Dy 3.52, 2 La 3.60
La  0.2660  0.4081  0.9641  4 Y 3.39-3.65, 1 Dy 3.52, 2 La 3.60
La  0.4081  0.9641  0.2660  4 Y 3.39-3.65, 1 Dy 3.52, 2 La 3.60
La  0.5919  0.0359  0.7340  4 Y 3.39-3.65, 1 Dy 3.52, 2 La 3.60
La  0.7340  0.5919  0.0359  4 Y 3.39-3.65, 1 Dy 3.52, 2 La 3.60
La  0.9641  0.2660  0.4081  4 Y 3.39-3.65, 1 Dy 3.52, 2 La 3.60
Dy  0.5000  0.5000  0.5000  6 La 3.52, 6 Y 3.60
Y  0.0774  0.0774  0.0774  4 Y 3.31-3.46, 3 La 3.56
Y  0.2041  0.2653  0.6136  3 La 3.39-3.65, 5 Y 3.46-3.50, 1 Dy 3.60
Y  0.2653  0.6136  0.2041  3 La 3.39-3.65, 5 Y 3.46-3.50, 1 Dy 3.60
Y  0.3864  0.7959  0.7347  3 La 3.39-3.65, 5 Y 3.46-3.50, 1 Dy 3.60
Y  0.6136  0.2041  0.2653  3 La 3.39-3.65, 5 Y 3.46-3.50, 1 Dy 3.60
Y  0.7347  0.3864  0.7959  3 La 3.39-3.65, 5 Y 3.46-3.50, 1 Dy 3.60
Y  0.7959  0.7347  0.3864  3 La 3.39-3.65, 5 Y 3.46-3.50, 1 Dy 3.60
Y  0.9226  0.9226  0.9226  4 Y 3.31-3.46, 3 La 3.56